[1]
The following is a GGA+U calculation of a relaxed TlCrF5 crystal, from Alexandria.

Output
As for the density of states at the Fermi level: 0.191 states/eV per atom. For the density, the calculation gives 5.1 g/cm3. As for the space-group type: C2/c (15). The size of the total moment comes out at 3.03 μB/f.u. The calculation puts the energy at -70.33 eV for the cell shown.

Lattice parameters (Å, degrees): 5.7975 5.7975 7.8485 109.78 109.78 72.36
Fractional positions:
Tl (0.0217, 0.9783, 0.7500)
Tl (0.9783, 0.0217, 0.2500)
Cr (0.5000, 0.5000, 0.0000)
Cr (0.5000, 0.5000, 0.5000)
F (0.2098, 0.7861, 0.4846)
F (0.2139, 0.7902, 0.0154)
F (0.2709, 0.2776, 0.8872)
F (0.2776, 0.2709, 0.3872)
F (0.4699, 0.5301, 0.7500)
F (0.5301, 0.4699, 0.2500)
F (0.7224, 0.7291, 0.6128)
F (0.7291, 0.7224, 0.1128)
F (0.7861, 0.2098, 0.9846)
F (0.7902, 0.2139, 0.5154)


[2]
The following is a GGA+U calculation of a relaxed Tl2Cr2F7 crystal, from Alexandria.

Output
As for the density of states at the Fermi level: 0.113 states/eV per atom. For the density, the calculation gives 6.2 g/cm3. As for the space-group type: Cmmm (65). The size of the total moment comes out at 7.00 μB/f.u. The calculation puts the energy at -57.16 eV for the cell shown.

Lattice parameters (Å, degrees): 5.2466 5.2466 6.3734 90.00 90.00 101.27
Fractional positions:
Tl (0.2412, 0.2412, 0.0000)
Tl (0.7588, 0.7588, 0.0000)
Cr (0.2624, 0.7376, 0.5000)
Cr (0.7376, 0.2624, 0.5000)
F (0.0000, 0.0000, 0.5000)
F (0.0000, 0.5000, 0.3059)
F (0.0000, 0.5000, 0.6941)
F (0.5000, 0.0000, 0.3059)
F (0.5000, 0.0000, 0.6941)
F (0.5000, 0.5000, 0.3000)
F (0.5000, 0.5000, 0.7000)


[3]
The following is a GGA+U calculation of a relaxed TlCr3F crystal, from Alexandria.

Output
As for the density of states at the Fermi level: 0.334 states/eV per atom. For the density, the calculation gives 6.4 g/cm3. As for the space-group type: Pm-3m (221). The size of the total moment comes out at 13.96 μB/f.u. The calculation puts the energy at -27.00 eV for the cell shown.

Lattice parameters (Å, degrees): 4.6209 4.6209 4.6209 90.00 90.00 90.00
Fractional positions:
Tl (0.0000, 0.0000, 0.0000)
Cr (0.0000, 0.5000, 0.5000)
Cr (0.5000, 0.0000, 0.5000)
Cr (0.5000, 0.5000, 0.0000)
F (0.5000, 0.5000, 0.5000)


[4]
The following is a GGA+U calculation of a relaxed Tl2CrF11 crystal, from Alexandria.

Output
For the density, the calculation gives 4.5 g/cm3. As for the space-group type: P-1 (2). The size of the total moment comes out at 1.22 μB/f.u. The calculation puts the energy at -116.35 eV for the cell shown.

Lattice parameters (Å, degrees): 5.6044 7.2954 13.5040 104.86 90.03 112.59
Fractional positions:
Tl (0.1281, 0.4083, 0.1273)
Tl (0.2809, 0.4100, 0.6276)
Tl (0.7191, 0.5900, 0.3724)
Tl (0.8719, 0.5917, 0.8727)
Cr (0.4070, 0.0008, 0.7501)
Cr (0.5930, 0.9992, 0.2499)
F (0.0000, 0.5000, 0.0000)
F (0.0583, 0.7426, 0.4617)
F (0.1116, 0.4731, 0.7858)
F (0.1276, 0.9121, 0.8216)
F (0.2178, 0.0900, 0.6778)
F (0.2723, 0.7469, 0.6548)
F (0.3134, 0.2554, 0.0377)
F (0.3316, 0.9184, 0.3218)
F (0.3603, 0.4710, 0.2855)
F (0.4139, 0.0804, 0.1774)
F (0.4741, 0.7453, 0.1548)
F (0.5000, 0.5000, 0.5000)
F (0.5259, 0.2547, 0.8452)
F (0.5861, 0.9196, 0.8226)
F (0.6397, 0.5290, 0.7145)
F (0.6684, 0.0816, 0.6782)
F (0.6866, 0.7446, 0.9623)
F (0.7277, 0.2531, 0.3452)
F (0.7822, 0.9100, 0.3222)
F (0.8724, 0.0879, 0.1784)
F (0.8884, 0.5269, 0.2142)
F (0.9417, 0.2574, 0.5383)


[5]
The following is a GGA+U calculation of a relaxed TlCrF2 crystal, from Alexandria.

Output
As for the density of states at the Fermi level: 0.000 states/eV per atom. For the density, the calculation gives 7.4 g/cm3. As for the space-group type: Fm-3m (225). The size of the total moment comes out at 5.00 μB/f.u. The calculation puts the energy at -75.74 eV for the cell shown.

Lattice parameters (Å, degrees): 6.4205 6.4205 6.4205 90.00 90.00 90.00
Fractional positions:
Tl (0.0000, 0.0000, 0.0000)
Tl (0.0000, 0.5000, 0.5000)
Tl (0.5000, 0.0000, 0.5000)
Tl (0.5000, 0.5000, 0.0000)
Cr (0.0000, 0.0000, 0.5000)
Cr (0.0000, 0.5000, 0.0000)
Cr (0.5000, 0.0000, 0.0000)
Cr (0.5000, 0.5000, 0.5000)
F (0.2500, 0.2500, 0.2500)
F (0.2500, 0.2500, 0.7500)
F (0.2500, 0.7500, 0.2500)
F (0.2500, 0.7500, 0.7500)
F (0.7500, 0.2500, 0.2500)
F (0.7500, 0.2500, 0.7500)
F (0.7500, 0.7500, 0.2500)
F (0.7500, 0.7500, 0.7500)


[6]
The following is a GGA+U calculation of a relaxed Tl2VCrF6 crystal, from Alexandria.

Output
For the density, the calculation gives 6.5 g/cm3. As for the space-group type: I4/mmm (139). The size of the total moment comes out at 7.00 μB/f.u. The calculation puts the energy at -53.94 eV for the cell shown.

Lattice parameters (Å, degrees): 6.1749 6.1749 6.1749 122.66 122.66 85.45
Fractional positions:
Tl (0.2500, 0.7500, 0.5000)
Tl (0.7500, 0.2500, 0.5000)
V (0.0000, 0.0000, 0.0000)
Cr (0.5000, 0.5000, 0.0000)
F (0.2339, 0.2339, 0.0000)
F (0.2560, 0.2560, 0.5121)
F (0.2560, 0.7440, 0.0000)
F (0.7440, 0.2560, 0.0000)
F (0.7440, 0.7440, 0.4879)
F (0.7661, 0.7661, 0.0000)


[7]
The following is a GGA+U calculation of a relaxed Tl2VCr3F12 crystal, from Alexandria.

Output
As for the density of states at the Fermi level: 0.294 states/eV per atom. For the density, the calculation gives 4.7 g/cm3. As for the space-group type: R-3m (166). The size of the total moment comes out at 13.00 μB/f.u. The calculation puts the energy at -102.55 eV for the cell shown.

Lattice parameters (Å, degrees): 7.4576 7.4576 7.4576 61.20 61.20 61.20
Fractional positions:
Tl (0.1579, 0.1579, 0.1579)
Tl (0.8421, 0.8421, 0.8421)
V (0.5000, 0.5000, 0.5000)
Cr (0.0000, 0.5000, 0.5000)
Cr (0.5000, 0.0000, 0.5000)
Cr (0.5000, 0.5000, 0.0000)
F (0.1650, 0.5773, 0.5773)
F (0.1883, 0.1883, 0.5596)
F (0.1883, 0.5596, 0.1883)
F (0.4227, 0.4227, 0.8350)
F (0.4227, 0.8350, 0.4227)
F (0.4404, 0.8117, 0.8117)
F (0.5596, 0.1883, 0.1883)
F (0.5773, 0.1650, 0.5773)
F (0.5773, 0.5773, 0.1650)
F (0.8117, 0.4404, 0.8117)
F (0.8117, 0.8117, 0.4404)
F (0.8350, 0.4227, 0.4227)


[8]
The following is a GGA+U calculation of a relaxed TlVCr2F8 crystal, from Alexandria.

Output
For the density, the calculation gives 4.4 g/cm3. As for the space-group type: P-1 (2). The size of the total moment comes out at 10.00 μB/f.u. The calculation puts the energy at -69.78 eV for the cell shown.

Lattice parameters (Å, degrees): 4.9073 4.9112 7.9686 92.91 90.28 93.25
Fractional positions:
Tl (0.0000, 0.0000, 0.0000)
V (0.0000, 0.0000, 0.5000)
Cr (0.4760, 0.5121, 0.2908)
Cr (0.5240, 0.4879, 0.7092)
F (0.1627, 0.2315, 0.3272)
F (0.1878, 0.2244, 0.6855)
F (0.3064, 0.7467, 0.4801)
F (0.3987, 0.7022, 0.8995)
F (0.6013, 0.2978, 0.1005)
F (0.6936, 0.2533, 0.5199)
F (0.8122, 0.7756, 0.3145)
F (0.8373, 0.7685, 0.6728)


[9]
The following is a GGA+U calculation of a relaxed TlZn2CrF8 crystal, from Alexandria.

Output
As for the density of states at the Fermi level: 0.000 states/eV per atom. For the density, the calculation gives 4.7 g/cm3. As for the space-group type: R-3 (148). The size of the total moment comes out at 2.98 μB/f.u. The calculation puts the energy at -55.22 eV for the cell shown.

Lattice parameters (Å, degrees): 8.6717 8.6717 8.6717 35.08 35.08 35.08
Fractional positions:
Tl (0.0000, 0.0000, 0.0000)
Zn (0.2409, 0.2409, 0.2409)
Zn (0.7591, 0.7591, 0.7591)
Cr (0.5000, 0.5000, 0.5000)
F (0.1519, 0.4507, 0.7581)
F (0.2419, 0.8481, 0.5493)
F (0.3175, 0.3175, 0.3175)
F (0.4507, 0.7581, 0.1519)
F (0.5493, 0.2419, 0.8481)
F (0.6825, 0.6825, 0.6825)
F (0.7581, 0.1519, 0.4507)
F (0.8481, 0.5493, 0.2419)


[10]
The following is a GGA+U calculation of a relaxed Tl2Zn3CrF12 crystal, from Alexandria.

Output
As for the density of states at the Fermi level: 0.549 states/eV per atom. For the density, the calculation gives 5.1 g/cm3. As for the space-group type: R-3m (166). The size of the total moment comes out at 2.31 μB/f.u. The calculation puts the energy at -78.41 eV for the cell shown.

Lattice parameters (Å, degrees): 7.5226 7.5226 7.5226 58.17 58.17 58.17
Fractional positions:
Tl (0.1054, 0.1054, 0.1054)
Tl (0.8946, 0.8946, 0.8946)
Zn (0.0000, 0.5000, 0.5000)
Zn (0.5000, 0.0000, 0.5000)
Zn (0.5000, 0.5000, 0.0000)
Cr (0.5000, 0.5000, 0.5000)
F (0.1736, 0.1736, 0.5768)
F (0.1736, 0.5768, 0.1736)
F (0.1948, 0.5671, 0.5671)
F (0.4232, 0.8264, 0.8264)
F (0.4329, 0.4329, 0.8052)
F (0.4329, 0.8052, 0.4329)
F (0.5671, 0.1948, 0.5671)
F (0.5671, 0.5671, 0.1948)
F (0.5768, 0.1736, 0.1736)
F (0.8052, 0.4329, 0.4329)
F (0.8264, 0.4232, 0.8264)
F (0.8264, 0.8264, 0.4232)